RbSr2TeAs, relaxed, DFT PBE-GGA; energy relative to the elements, uncorrected = 0.450 eV/atom; calculated total energy = -1.975 eV per atom; magnetization = 0.0879 μB/atom
1.0
-0.090 -5.855 -3.113
5.145 -0.605 0.988
-1.454 -3.020 5.722
Sr As Te Rb
2 1 1 1
direct
0.000 0.000 0.500 Sr
0.500 0.000 0.000 Sr
0.000 0.500 0.000 As
0.500 0.500 0.500 Te
0.000 0.000 0.000 Rb